(1)
Density functional theory data (GGA-PBE) for a relaxed structure of NbInH2.

Output
Total energy = -4.72 eV per atom
Total moment = 0.0 μB/cell
D(E_F) = 0.0518 states/eV per atom
Space group = I-42d (122)

a b c (Å): 4.113 4.113 11.901
angles (deg): 90.00 90.00 90.00
Positions (direct):
Nb  0.000  0.000  0.000
Nb  0.000  0.500  0.250
Nb  0.500  0.000  0.750
Nb  0.500  0.500  0.500
In  0.000  0.000  0.500
In  0.000  0.500  0.750
In  0.500  0.000  0.250
In  0.500  0.500  0.000
H  0.102  0.250  0.125
H  0.250  0.602  0.375
H  0.250  0.898  0.875
H  0.398  0.250  0.625
H  0.602  0.750  0.625
H  0.750  0.102  0.875
H  0.750  0.398  0.375
H  0.898  0.750  0.125

---

(2)
Density functional theory data (GGA-PBE) for a relaxed structure of Na2ZnAg.

Output
E_form = -5 kJ/mol of formula units
Total moment = 0.0 μB/cell
D(E_F) = 0.3566 states/eV per atom
Space group = Cmcm (63)

a b c (Å): 9.176 7.405 5.582
angles (deg): 90.00 90.00 90.00
Positions (direct):
Na  0.181  0.154  0.250
Na  0.181  0.846  0.750
Na  0.319  0.346  0.750
Na  0.319  0.654  0.250
Na  0.681  0.346  0.750
Na  0.681  0.654  0.250
Na  0.819  0.154  0.250
Na  0.819  0.846  0.750
Zn  0.000  0.500  0.000
Zn  0.000  0.500  0.500
Zn  0.500  0.000  0.000
Zn  0.500  0.000  0.500
Ag  0.000  0.197  0.750
Ag  0.000  0.803  0.250
Ag  0.500  0.303  0.250
Ag  0.500  0.697  0.750

---

(3)
Density functional theory data (GGA-PBE) for a relaxed structure of V3Re2Ru.

Output
E_form = -189 kJ/mol of formula units
Total moment = 0.0 μB/cell
D(E_F) = 0.6797 states/eV per atom
Space group = P4/mmm (123)

a b c (Å): 3.030 3.030 9.099
angles (deg): 90.00 90.00 90.00
Positions (direct):
V  0.000  0.000  0.000
V  0.000  0.000  0.331
V  0.000  0.000  0.669
Re  0.500  0.500  0.168
Re  0.500  0.500  0.832
Ru  0.500  0.500  0.500

---

(4)
Density functional theory data (GGA-PBE) for a relaxed structure of La2MgIrC.

Output
E_form = -160 kJ/mol of formula units
Total moment = 0.0 μB/cell
D(E_F) = 0.5649 states/eV per atom
Space group = P4/mmm (123)

a b c (Å): 5.447 5.447 3.912
angles (deg): 90.00 90.00 90.00
Positions (direct):
La  0.000  0.500  0.000
La  0.500  0.000  0.000
Mg  0.000  0.000  0.500
Ir  0.500  0.500  0.500
C  0.500  0.500  0.000

---

(5)
Density functional theory data (GGA-PBE) for a relaxed structure of Ho3SbSe.

Output
Total moment = 0.0 μB/cell
Uncorrected formation energy = -795 meV per atom
D(E_F) = 1.0709 states/eV per atom
Space group = Ama2 (40)

a b c (Å): 4.466 10.879 10.879
angles (deg): 141.85 90.00 90.00
Positions (direct):
Ho  0.250  0.061  0.939
Ho  0.250  0.549  0.696
Ho  0.250  0.812  0.214
Ho  0.750  0.214  0.812
Ho  0.750  0.696  0.549
Ho  0.750  0.939  0.061
Sb  0.250  0.909  0.559
Sb  0.750  0.559  0.909
Se  0.250  0.147  0.317
Se  0.750  0.317  0.147

---

(6)
Density functional theory data (GGA-PBE) for a relaxed structure of PuPaF2.

Output
Total moment = 20.1 μB/cell
Uncorrected formation energy = -1859 meV per atom
D(E_F) = 2.6733 states/eV per atom
Space group = R-3m (166)

a b c (Å): 3.260 3.260 25.363
angles (deg): 90.00 90.00 120.00
Positions (direct):
Pu  0.000  0.000  0.000
Pu  0.333  0.667  0.667
Pu  0.667  0.333  0.333
Pa  0.000  0.000  0.500
Pa  0.333  0.667  0.167
Pa  0.667  0.333  0.833
F  0.000  0.000  0.099
F  0.000  0.000  0.901
F  0.333  0.667  0.568
F  0.333  0.667  0.766
F  0.667  0.333  0.234
F  0.667  0.333  0.432

---

(7)
Density functional theory data (GGA-PBE) for a relaxed structure of AlVCo.

Output
E_form = -87 kJ/mol of formula units
Total moment = 0.0 μB/cell
D(E_F) = 0.5275 states/eV per atom
Space group = P6_3/mmc (194)

a b c (Å): 4.121 4.121 5.187
angles (deg): 90.00 90.00 120.00
Positions (direct):
Al  0.000  0.000  0.000
Al  0.000  0.000  0.500
V  0.333  0.667  0.250
V  0.667  0.333  0.750
Co  0.333  0.667  0.750
Co  0.667  0.333  0.250

---

(8)
Density functional theory data (GGA-PBE) for a relaxed structure of PrSm5YHo2.

Output
E_form = 133 kJ/mol of formula units
Total moment = 0.0 μB/cell
D(E_F) = 1.5940 states/eV per atom
Space group = Cmc2_1 (36)

a b c (Å): 10.546 10.546 10.711
angles (deg): 90.00 90.00 148.88
Positions (direct):
Pr  0.202  0.798  0.500
Pr  0.798  0.202  0.000
Sm  0.016  0.984  0.514
Sm  0.281  0.719  0.797
Sm  0.298  0.702  0.195
Sm  0.393  0.607  0.516
Sm  0.478  0.522  0.231
Sm  0.522  0.478  0.731
Sm  0.607  0.393  0.016
Sm  0.702  0.298  0.695
Sm  0.719  0.281  0.297
Sm  0.984  0.016  0.014
Y  0.411  0.589  0.945
Y  0.589  0.411  0.445
Ho  0.110  0.890  0.227
Ho  0.116  0.884  0.809
Ho  0.884  0.116  0.309
Ho  0.890  0.110  0.727

---

(9)
Density functional theory data (GGA-PBE) for a relaxed structure of CaTaPb2.

Output
E_form = 122 kJ/mol of formula units
Total moment = 0.0 μB/cell
D(E_F) = 0.5642 states/eV per atom
Space group = Pm (6)

a b c (Å): 3.229 5.701 5.566
angles (deg): 90.00 93.14 90.00
Positions (direct):
Ca  0.000  0.000  0.000
Ta  0.745  0.500  0.317
Pb  0.421  0.500  0.828
Pb  0.497  0.000  0.492

---

(10)
Density functional theory data (GGA-PBE) for a relaxed structure of MnBe2Cr.

Output
E_form = -5 kJ/mol of formula units
Total moment = 0.0 μB/cell
D(E_F) = 0.5578 states/eV per atom
Space group = Pmmm (47)

a b c (Å): 2.912 3.612 3.683
angles (deg): 90.00 90.00 90.00
Positions (direct):
Mn  0.000  0.000  0.000
Be  0.000  0.500  0.500
Be  0.500  0.000  0.500
Cr  0.500  0.500  0.000

---

(11)
Density functional theory data (GGA-PBE) for a relaxed structure of Mg4Pt.

Output
E_form = -185 kJ/mol of formula units
Total moment = 0.0 μB/cell
D(E_F) = 0.3355 states/eV per atom
Space group = I4/m (87)

a b c (Å): 6.662 6.662 4.208
angles (deg): 90.00 90.00 90.00
Positions (direct):
Mg  0.108  0.711  0.000
Mg  0.211  0.392  0.500
Mg  0.289  0.108  0.000
Mg  0.392  0.789  0.500
Mg  0.608  0.211  0.500
Mg  0.711  0.892  0.000
Mg  0.789  0.608  0.500
Mg  0.892  0.289  0.000
Pt  0.000  0.000  0.500
Pt  0.500  0.500  0.000

---

(12)
Density functional theory data (GGA-PBE) for a relaxed structure of V3ZnIr4.

Output
E_form = -346 kJ/mol of formula units
Total moment = 0.8 μB/cell
D(E_F) = 1.1214 states/eV per atom
Space group = P4/mmm (123)

a b c (Å): 2.798 2.798 14.327
angles (deg): 90.00 90.00 90.00
Positions (direct):
V  0.000  0.000  0.000
V  0.000  0.000  0.253
V  0.000  0.000  0.747
Zn  0.000  0.000  0.500
Ir  0.500  0.500  0.125
Ir  0.500  0.500  0.370
Ir  0.500  0.500  0.630
Ir  0.500  0.500  0.875

---

(13)
Density functional theory data (GGA-PBE) for a relaxed structure of HfZn4Ni2.

Output
E_form = -128 kJ/mol of formula units
Total moment = 0.0 μB/cell
D(E_F) = 0.3629 states/eV per atom
Space group = Cmmm (65)

a b c (Å): 3.372 15.806 3.862
angles (deg): 90.00 90.00 90.00
Positions (direct):
Hf  0.000  0.000  0.000
Hf  0.500  0.500  0.000
Zn  0.000  0.186  0.500
Zn  0.000  0.327  0.000
Zn  0.000  0.673  0.000
Zn  0.000  0.814  0.500
Zn  0.500  0.173  0.000
Zn  0.500  0.314  0.500
Zn  0.500  0.686  0.500
Zn  0.500  0.827  0.000
Ni  0.000  0.427  0.500
Ni  0.000  0.573  0.500
Ni  0.500  0.073  0.500
Ni  0.500  0.927  0.500

---

(14)
Density functional theory data (GGA-PBE) for a relaxed structure of Tl2Sb.

Output
Total moment = 0.0 μB/cell
Uncorrected formation energy = 15 meV per atom
D(E_F) = 0.6204 states/eV per atom
Space group = P-62m (189)

a b c (Å): 8.310 8.310 4.887
angles (deg): 90.00 90.00 120.00
Positions (direct):
Tl  0.000  0.258  0.000
Tl  0.000  0.590  0.500
Tl  0.258  0.000  0.000
Tl  0.410  0.410  0.500
Tl  0.590  0.000  0.500
Tl  0.742  0.742  0.000
Sb  0.000  0.000  0.500
Sb  0.333  0.667  0.000
Sb  0.667  0.333  0.000

---

(15)
Density functional theory data (GGA-PBE) for a relaxed structure of Pm4Sn2H.

Output
Total energy = -4.96 eV per atom
Total moment = 0.0 μB/cell
D(E_F) = 1.0028 states/eV per atom
Space group = I4/mmm (139)

a b c (Å): 4.666 4.666 17.381
angles (deg): 90.00 90.00 90.00
Positions (direct):
Pm  0.000  0.000  0.178
Pm  0.000  0.000  0.822
Pm  0.000  0.500  0.000
Pm  0.000  0.500  0.500
Pm  0.500  0.000  0.000
Pm  0.500  0.000  0.500
Pm  0.500  0.500  0.322
Pm  0.500  0.500  0.678
Sn  0.000  0.000  0.363
Sn  0.000  0.000  0.637
Sn  0.500  0.500  0.137
Sn  0.500  0.500  0.863
H  0.000  0.000  0.000
H  0.500  0.500  0.500